A plane-wave DFT calculation with meta-GGA SCAN was carried out for a PBEsol-optimized structure of MoPt.

Cell: 10.251 2.708 6.661 Å, 90.00 104.34 90.00°
Space group Cm (No. 8)
One atom of each set of equivalent atoms:
Mo1 0.000 0.000 0.000
Mo2 0.061 0.000 0.618
Mo3 0.177 0.500 0.333
Pt1 0.219 0.500 0.944
Pt2 0.340 0.000 0.667
Pt3 0.400 0.000 0.285

Output
Theoretical density: 16.185 Mg/m³
Energy relative to the elements: -0.32 eV per atom